1.
## LiHo3Th3Se8 (PBE-GGA)

Data for a relaxed LiHo3Th3Se8 crystal.

a b c (Å): 8.1587 8.1583 8.2644
angles (deg): 119.57 90.00 120.01
Last column: nearest neighbours and their distance in Å.
Fractional positions:
Li: 0.0000 0.0000 0.5000  6 Se 2.86
Ho: 0.5000 0.0000 0.5000  6 Se 2.84-2.86
Ho: 0.5000 0.5000 0.5000  6 Se 2.84-2.86
Ho: 0.0000 0.5000 0.5000  6 Se 2.84-2.86
Th: 0.0000 0.0000 0.0000  6 Se 2.95-2.97
Th: 0.0000 0.5000 0.0000  6 Se 2.95-2.97
Th: 0.5000 0.5000 0.0000  6 Se 2.95-2.97
Se: 0.2557 0.5114 0.2671  3 Ho 2.84, 3 Th 2.97
Se: 0.7443 0.4886 0.7329  3 Ho 2.84, 3 Th 2.97
Se: 0.7538 0.5076 0.2618  2 Ho 2.86, 1 Li 2.86, 2 Th 2.95
Se: 0.2462 0.4924 0.7382  2 Ho 2.86, 1 Li 2.86, 2 Th 2.95
Se: 0.7537 0.0080 0.2617  2 Ho 2.86, 1 Li 2.86, 2 Th 2.95
Se: 0.2463 0.9920 0.7383  2 Ho 2.86, 1 Li 2.86, 2 Th 2.95
Se: 0.2543 0.0080 0.2617  2 Ho 2.86, 1 Li 2.86, 2 Th 2.95
Se: 0.7457 0.9920 0.7383  2 Ho 2.86, 1 Li 2.86, 2 Th 2.95

Results
* formation energy from raw total energies: -1.67 eV per atom
* theoretical density: 7.762 g/cm³
* space group: R-3m
* N(E_F): 9.83 states/eV/cell



2.
## LiHo2ThSe4 (PBE-GGA)

Data for a relaxed LiHo2ThSe4 crystal.

a b c (Å): 4.0476 7.1362 7.0391
angles (deg): 108.73 90.00 90.00
Last column: nearest neighbours and their distance in Å.
Fractional positions:
Li: 0.5000 0.5000 0.0000  6 Se 2.81-2.87
Ho: 0.5000 0.0000 0.5000  6 Se 2.92-2.96
Ho: 0.0000 0.5000 0.5000  6 Se 2.83
Th: 0.0000 0.0000 0.0000  6 Se 2.93-2.95
Se: 0.5000 0.2663 0.2536  1 Li 2.81, 3 Ho 2.83-2.96, 2 Th 2.95
Se: 0.5000 0.7337 0.7464  1 Li 2.81, 3 Ho 2.83-2.96, 2 Th 2.95
Se: 0.0000 0.2581 0.7500  3 Ho 2.83-2.92, 2 Li 2.87, 1 Th 2.93
Se: 0.0000 0.7419 0.2500  3 Ho 2.83-2.92, 2 Li 2.87, 1 Th 2.93

Results
* formation energy from raw total energies: -1.64 eV per atom
* theoretical density: 7.630 g/cm³
* space group: P2/m
* N(E_F): 4.49 states/eV/cell



3.
## Li4Ho3ThSe8 (PBE-GGA)

Data for a relaxed Li4Ho3ThSe8 crystal.

a b c (Å): 8.1258 8.0370 8.1243
angles (deg): 120.39 120.01 90.00
Last column: nearest neighbours and their distance in Å.
Fractional positions:
Li: 0.5000 0.0000 0.0000  6 Se 2.79
Li: 0.5000 0.0000 0.5000  6 Se 2.84-2.85
Li: 0.0000 0.0000 0.0000  6 Se 2.84
Li: 0.0000 0.0000 0.5000  6 Se 2.84-2.85
Ho: 0.5000 0.5000 0.0000  6 Se 2.87
Ho: 0.5000 0.5000 0.5000  6 Se 2.87
Ho: 0.0000 0.5000 0.5000  6 Se 2.87
Th: 0.0000 0.5000 0.0000  6 Se 2.92
Se: 0.2558 0.7587 0.0033  3 Li 2.79-2.84, 2 Ho 2.87, 1 Th 2.92
Se: 0.2558 0.7587 0.5115  3 Li 2.79-2.84, 2 Ho 2.87, 1 Th 2.92
Se: 0.2489 0.2471 0.4978  3 Li 2.84-2.85, 3 Ho 2.87
Se: 0.7475 0.7587 0.0033  3 Li 2.79-2.84, 2 Ho 2.87, 1 Th 2.92
Se: 0.2525 0.2413 0.9967  3 Li 2.79-2.84, 2 Ho 2.87, 1 Th 2.92
Se: 0.7511 0.7529 0.5022  3 Li 2.84-2.85, 3 Ho 2.87
Se: 0.7442 0.2413 0.4885  3 Li 2.79-2.84, 2 Ho 2.87, 1 Th 2.92
Se: 0.7442 0.2413 0.9967  3 Li 2.79-2.84, 2 Ho 2.87, 1 Th 2.92

Results
* formation energy from raw total energies: -1.64 eV per atom
* theoretical density: 6.173 g/cm³
* space group: R-3m
* N(E_F): 3.56 states/eV/cell



4.
## Li3Ho4ThSe8 (PBE-GGA)

Data for a relaxed Li3Ho4ThSe8 crystal.

a b c (Å): 8.0915 8.1198 8.0915
angles (deg): 119.89 120.00 90.00
Last column: nearest neighbours and their distance in Å.
Fractional positions:
Li: 0.5000 0.5000 0.0000  6 Se 2.83-2.86
Li: 0.5000 0.5000 0.5000  6 Se 2.83-2.86
Li: 0.0000 0.5000 0.5000  6 Se 2.83-2.86
Ho: 0.5000 0.0000 0.0000  6 Se 2.82
Ho: 0.5000 0.0000 0.5000  6 Se 2.87-2.90
Ho: 0.0000 0.0000 0.0000  6 Se 2.87-2.90
Ho: 0.0000 0.0000 0.5000  6 Se 2.87-2.90
Th: 0.0000 0.5000 0.0000  6 Se 2.91
Se: 0.2538 0.7473 0.9935  3 Ho 2.82-2.90, 2 Li 2.83, 1 Th 2.91
Se: 0.2538 0.7473 0.5077  3 Ho 2.82-2.90, 2 Li 2.83, 1 Th 2.91
Se: 0.2504 0.2513 0.5009  3 Li 2.86, 3 Ho 2.87
Se: 0.7397 0.7473 0.9935  3 Ho 2.82-2.90, 2 Li 2.83, 1 Th 2.91
Se: 0.2603 0.2527 0.0065  3 Ho 2.82-2.90, 2 Li 2.83, 1 Th 2.91
Se: 0.7496 0.7487 0.4991  3 Li 2.86, 3 Ho 2.87
Se: 0.7462 0.2527 0.4923  3 Ho 2.82-2.90, 2 Li 2.83, 1 Th 2.91
Se: 0.7462 0.2527 0.0065  3 Ho 2.82-2.90, 2 Li 2.83, 1 Th 2.91

Results
* formation energy from raw total energies: -1.67 eV per atom
* theoretical density: 6.810 g/cm³
* space group: R-3m
* N(E_F): 5.37 states/eV/cell